Entry 1:
DFT (GGA-PBE) results for a geometry-optimized La3Cl structure.

## Properties
Formation energy without anion corrections in eV/f.u.: -2.4
Polymorph energy (0 for the lowest one) in meV per atom: 135
Density of states at the Fermi level in states/eV/f.u.: 3.58

a b c (Å): 3.605 3.605 9.663
angles (deg): 90.00 90.00 90.00
Sites, in units of the cell vectors:
La (0.000, 0.000, 0.000)
La (0.500, 0.500, 0.270)
La (0.500, 0.500, 0.730)
Cl (0.000, 0.000, 0.500)



Entry 2:
DFT (GGA-PBE) results for a geometry-optimized La3Cl structure.

## Properties
Formation energy without anion corrections in eV/f.u.: -0.3
Polymorph energy (0 for the lowest one) in meV per atom: 660
Density of states at the Fermi level in states/eV/f.u.: 7.38

a b c (Å): 5.676 5.676 5.676
angles (deg): 60.00 60.00 60.00
Sites, in units of the cell vectors:
La (0.000, 0.000, 0.000)
La (0.250, 0.250, 0.250)
La (0.750, 0.750, 0.750)
Cl (0.500, 0.500, 0.500)